--- w ---
# NaAsPBr2

NaAsPBr2 after structural relaxation (PBE-GGA, Alexandria via LeMat-Bulk).

The calculation puts the total magnetization at 2.0 Bohr magnetons per cell. The mass density comes out at 3.17 g/cm3.

It has space group P4/mmm (No. 123), with a = 5.070 Å, b = 5.070 Å, c = 5.879 Å, α = 90.00°, β = 90.00° and γ = 90.00°. Symmetry generates all atoms from Na at (0.000, 0.000, 0.000), As at (0.000, 0.000, 0.500), P at (0.500, 0.500, 0.500) and Br at (0.000, 0.500, 0.000).

=====

--- x ---
# NaAsPBr2

NaAsPBr2 after structural relaxation (PBE-GGA, Alexandria via LeMat-Bulk).

The calculation puts the total magnetization at 0.6 Bohr magnetons per cell. The mass density comes out at 3.35 g/cm3.

It has space group P4/mmm (No. 123), with a = 5.496 Å, b = 5.496 Å, c = 4.735 Å, α = 90.00°, β = 90.00° and γ = 90.00°. Symmetry generates all atoms from Na at (0.000, 0.000, 0.000), As at (0.500, 0.500, 0.000), P at (0.500, 0.500, 0.500) and Br at (0.000, 0.500, 0.500).

=====

Which structure is most stable? x, by 0.879 eV/atom over the runner-up.

=====

--- w ---
# NaAs2PbBr

NaAs2PbBr after structural relaxation (PBE-GGA, Alexandria via LeMat-Bulk).

The calculation puts the total magnetization at 1.1 Bohr magnetons per cell. The mass density comes out at 5.31 g/cm3.

It has space group P4/mmm (No. 123), with a = 5.128 Å, b = 5.128 Å, c = 5.471 Å, α = 90.00°, β = 90.00° and γ = 90.00°. Symmetry generates all atoms from Na at (0.000, 0.000, 0.000), As at (0.000, 0.500, 0.000), Pb at (0.500, 0.500, 0.500) and Br at (0.000, 0.000, 0.500).

=====

--- x ---
# NaAs2PbBr

NaAs2PbBr after structural relaxation (PBE-GGA, Alexandria via LeMat-Bulk).

The calculation puts the total magnetization at 1.5 Bohr magnetons per cell. The mass density comes out at 4.16 g/cm3.

It has space group P4/mmm (No. 123), with a = 5.481 Å, b = 5.481 Å, c = 6.116 Å, α = 90.00°, β = 90.00° and γ = 90.00°. Symmetry generates all atoms from Na at (0.000, 0.000, 0.000), As at (0.000, 0.500, 0.500), Pb at (0.500, 0.500, 0.500) and Br at (0.500, 0.500, 0.000).

=====

Which structure is most stable? x, by 0.216 eV/atom over the runner-up.

=====

--- w ---
# NaAs2PdBr

NaAs2PdBr after structural relaxation (PBE-GGA, Alexandria via LeMat-Bulk).

The calculation puts the total magnetization at 0.1 Bohr magnetons per cell. The mass density comes out at 3.37 g/cm3.

It has space group P4/mmm (No. 123), with a = 4.652 Å, b = 4.652 Å, c = 8.166 Å, α = 90.00°, β = 90.00° and γ = 90.00°. Symmetry generates all atoms from Na at (0.000, 0.000, 0.000), As at (0.000, 0.500, 0.500), Pd at (0.500, 0.500, 0.500) and Br at (0.500, 0.500, 0.000).

=====

--- x ---
# NaAs2PdBr

NaAs2PdBr after structural relaxation (PBE-GGA, Alexandria via LeMat-Bulk).

The calculation puts the total magnetization at 0.0 Bohr magnetons per cell. The mass density comes out at 4.58 g/cm3.

It has space group P4/mmm (No. 123), with a = 5.050 Å, b = 5.050 Å, c = 5.100 Å, α = 90.00°, β = 90.00° and γ = 90.00°. Symmetry generates all atoms from Na at (0.000, 0.000, 0.000), As at (0.000, 0.500, 0.000), Pd at (0.500, 0.500, 0.500) and Br at (0.000, 0.000, 0.500).

=====

Which structure is most stable? w, by 1.034 eV/atom over the runner-up.

=====

--- w ---
# RbNaAs2Br

RbNaAs2Br after structural relaxation (PBE-GGA, Alexandria via LeMat-Bulk).

The calculation puts the total magnetization at 5.0 Bohr magnetons per cell. The mass density comes out at 2.03 g/cm3.

It has space group P4/mmm (No. 123), with a = 6.585 Å, b = 6.585 Å, c = 6.381 Å, α = 90.00°, β = 90.00° and γ = 90.00°. Symmetry generates all atoms from Rb at (0.000, 0.000, 0.000), Na at (0.500, 0.500, 0.500), As at (0.000, 0.500, 0.000) and Br at (0.000, 0.000, 0.500).

=====

--- x ---
# RbNaAs2Br

RbNaAs2Br after structural relaxation (PBE-GGA, Alexandria via LeMat-Bulk).

The calculation puts the total magnetization at 2.2 Bohr magnetons per cell. The mass density comes out at 3.25 g/cm3.

It has space group P4/mmm (No. 123), with a = 5.322 Å, b = 5.322 Å, c = 6.107 Å, α = 90.00°, β = 90.00° and γ = 90.00°. Symmetry generates all atoms from Rb at (0.000, 0.000, 0.000), Na at (0.500, 0.500, 0.500), As at (0.000, 0.500, 0.500) and Br at (0.500, 0.500, 0.000).

=====

Which structure is most stable? x, by 0.429 eV/atom over the runner-up.

=====

--- w ---
# RbNaAsBr2

RbNaAsBr2 after structural relaxation (PBE-GGA, Alexandria via LeMat-Bulk).

The calculation puts the total magnetization at 3.0 Bohr magnetons per cell. The mass density comes out at 3.01 g/cm3.

It has space group P4/mmm (No. 123), with a = 5.766 Å, b = 5.766 Å, c = 5.693 Å, α = 90.00°, β = 90.00° and γ = 90.00°. Symmetry generates all atoms from Rb at (0.000, 0.000, 0.000), Na at (0.500, 0.500, 0.500), As at (0.500, 0.500, 0.000) and Br at (0.000, 0.500, 0.500).

=====

--- x ---
# RbNaAsBr2

RbNaAsBr2 after structural relaxation (PBE-GGA, Alexandria via LeMat-Bulk).

The calculation puts the total magnetization at 3.1 Bohr magnetons per cell. The mass density comes out at 2.10 g/cm3.

It has space group P4/mmm (No. 123), with a = 6.498 Å, b = 6.498 Å, c = 6.426 Å, α = 90.00°, β = 90.00° and γ = 90.00°. Symmetry generates all atoms from Rb at (0.000, 0.000, 0.000), Na at (0.500, 0.500, 0.500), As at (0.000, 0.000, 0.500) and Br at (0.000, 0.500, 0.000).

=====

Which structure is most stable? w, by 0.344 eV/atom over the runner-up.

=====

--- w ---
# NaAsRhBr2

NaAsRhBr2 after structural relaxation (PBE-GGA, Alexandria via LeMat-Bulk).

The calculation puts the total magnetization at 0.0 Bohr magnetons per cell. The mass density comes out at 4.38 g/cm3.

It has space group P4/mmm (No. 123), with a = 5.452 Å, b = 5.452 Å, c = 4.599 Å, α = 90.00°, β = 90.00° and γ = 90.00°. Symmetry generates all atoms from Na at (0.000, 0.000, 0.000), As at (0.500, 0.500, 0.000), Rh at (0.500, 0.500, 0.500) and Br at (0.000, 0.500, 0.500).

=====

--- x ---
# NaAsRhBr2

NaAsRhBr2 after structural relaxation (PBE-GGA, Alexandria via LeMat-Bulk).

The calculation puts the total magnetization at 3.9 Bohr magnetons per cell. The mass density comes out at 4.06 g/cm3.

It has space group P4/mmm (No. 123), with a = 5.202 Å, b = 5.202 Å, c = 5.447 Å, α = 90.00°, β = 90.00° and γ = 90.00°. Symmetry generates all atoms from Na at (0.000, 0.000, 0.000), As at (0.000, 0.000, 0.500), Rh at (0.500, 0.500, 0.500) and Br at (0.000, 0.500, 0.000).

=====

Which structure is most stable? w, by 1.180 eV/atom over the runner-up.

=====

--- w ---
# NaSbAsBr2

NaSbAsBr2 after structural relaxation (PBE-GGA, Alexandria via LeMat-Bulk).

The calculation puts the total magnetization at 1.0 Bohr magnetons per cell. The mass density comes out at 4.16 g/cm3.

It has space group P4/mmm (No. 123), with a = 5.121 Å, b = 5.121 Å, c = 5.779 Å, α = 90.00°, β = 90.00° and γ = 90.00°. Symmetry generates all atoms from Na at (0.000, 0.000, 0.000), Sb at (0.500, 0.500, 0.500), As at (0.000, 0.000, 0.500) and Br at (0.000, 0.500, 0.000).

=====

--- x ---
# NaSbAsBr2

NaSbAsBr2 after structural relaxation (PBE-GGA, Alexandria via LeMat-Bulk).

The calculation puts the total magnetization at 0.8 Bohr magnetons per cell. The mass density comes out at 3.47 g/cm3.

It has space group P4/mmm (No. 123), with a = 5.818 Å, b = 5.818 Å, c = 5.366 Å, α = 90.00°, β = 90.00° and γ = 90.00°. Symmetry generates all atoms from Na at (0.000, 0.000, 0.000), Sb at (0.500, 0.500, 0.500), As at (0.500, 0.500, 0.000) and Br at (0.000, 0.500, 0.500).

=====

Which structure is most stable? x, by 0.475 eV/atom over the runner-up.

=====

--- w ---
# NaScAs2Br

NaScAs2Br after structural relaxation (PBE-GGA, Alexandria via LeMat-Bulk).

The calculation puts the total magnetization at 0.0 Bohr magnetons per cell. The mass density comes out at 3.87 g/cm3.

It has space group P4/mmm (No. 123), with a = 4.977 Å, b = 4.977 Å, c = 5.161 Å, α = 90.00°, β = 90.00° and γ = 90.00°. Symmetry generates all atoms from Na at (0.000, 0.000, 0.000), Sc at (0.500, 0.500, 0.500), As at (0.000, 0.500, 0.000) and Br at (0.000, 0.000, 0.500).

=====

--- x ---
# NaScAs2Br

NaScAs2Br after structural relaxation (PBE-GGA, Alexandria via LeMat-Bulk).

The calculation puts the total magnetization at 0.0 Bohr magnetons per cell. The mass density comes out at 3.35 g/cm3.

It has space group P4/mmm (No. 123), with a = 5.147 Å, b = 5.147 Å, c = 5.573 Å, α = 90.00°, β = 90.00° and γ = 90.00°. Symmetry generates all atoms from Na at (0.000, 0.000, 0.000), Sc at (0.500, 0.500, 0.500), As at (0.000, 0.500, 0.500) and Br at (0.500, 0.500, 0.000).

=====

Which structure is most stable? x, by 0.812 eV/atom over the runner-up.

=====

--- w ---
# NaSiAs2Br

NaSiAs2Br after structural relaxation (PBE-GGA, Alexandria via LeMat-Bulk).

The calculation puts the total magnetization at 0.0 Bohr magnetons per cell. The mass density comes out at 3.22 g/cm3.

It has space group P4/mmm (No. 123), with a = 4.659 Å, b = 4.659 Å, c = 6.669 Å, α = 90.00°, β = 90.00° and γ = 90.00°. Symmetry generates all atoms from Na at (0.000, 0.000, 0.000), Si at (0.500, 0.500, 0.500), As at (0.000, 0.500, 0.500) and Br at (0.500, 0.500, 0.000).

=====

--- x ---
# NaSiAs2Br

NaSiAs2Br after structural relaxation (PBE-GGA, Alexandria via LeMat-Bulk).

The calculation puts the total magnetization at 0.4 Bohr magnetons per cell. The mass density comes out at 3.46 g/cm3.

It has space group P4/mmm (No. 123), with a = 5.098 Å, b = 5.098 Å, c = 5.193 Å, α = 90.00°, β = 90.00° and γ = 90.00°. Symmetry generates all atoms from Na at (0.000, 0.000, 0.000), Si at (0.500, 0.500, 0.500), As at (0.000, 0.500, 0.000) and Br at (0.000, 0.000, 0.500).

=====

Which structure is most stable? w, by 0.976 eV/atom over the runner-up.

=====

--- w ---
# NaSnAs2Br

NaSnAs2Br after structural relaxation (PBE-GGA, Alexandria via LeMat-Bulk).

The calculation puts the total magnetization at 0.9 Bohr magnetons per cell. The mass density comes out at 4.37 g/cm3.

It has space group P4/mmm (No. 123), with a = 5.128 Å, b = 5.128 Å, c = 5.367 Å, α = 90.00°, β = 90.00° and γ = 90.00°. Symmetry generates all atoms from Na at (0.000, 0.000, 0.000), Sn at (0.500, 0.500, 0.500), As at (0.000, 0.500, 0.000) and Br at (0.000, 0.000, 0.500).

=====

--- x ---
# NaSnAs2Br

NaSnAs2Br after structural relaxation (PBE-GGA, Alexandria via LeMat-Bulk).

The calculation puts the total magnetization at 1.1 Bohr magnetons per cell. The mass density comes out at 3.67 g/cm3.

It has space group P4/mmm (No. 123), with a = 5.273 Å, b = 5.273 Å, c = 6.038 Å, α = 90.00°, β = 90.00° and γ = 90.00°. Symmetry generates all atoms from Na at (0.000, 0.000, 0.000), Sn at (0.500, 0.500, 0.500), As at (0.000, 0.500, 0.500) and Br at (0.500, 0.500, 0.000).

=====

Which structure is most stable? x, by 0.431 eV/atom over the runner-up.

=====

--- w ---
# NaSnAsBr2

NaSnAsBr2 after structural relaxation (PBE-GGA, Alexandria via LeMat-Bulk).

The calculation puts the total magnetization at 2.0 Bohr magnetons per cell. The mass density comes out at 4.02 g/cm3.

It has space group P4/mmm (No. 123), with a = 5.232 Å, b = 5.232 Å, c = 5.673 Å, α = 90.00°, β = 90.00° and γ = 90.00°. Symmetry generates all atoms from Na at (0.000, 0.000, 0.000), Sn at (0.500, 0.500, 0.500), As at (0.000, 0.000, 0.500) and Br at (0.000, 0.500, 0.000).

=====

--- x ---
# NaSnAsBr2

NaSnAsBr2 after structural relaxation (PBE-GGA, Alexandria via LeMat-Bulk).

The calculation puts the total magnetization at 1.0 Bohr magnetons per cell. The mass density comes out at 3.47 g/cm3.

It has space group P4/mmm (No. 123), with a = 5.830 Å, b = 5.830 Å, c = 5.300 Å, α = 90.00°, β = 90.00° and γ = 90.00°. Symmetry generates all atoms from Na at (0.000, 0.000, 0.000), Sn at (0.500, 0.500, 0.500), As at (0.500, 0.500, 0.000) and Br at (0.000, 0.500, 0.500).

=====

Which structure is most stable? x, by 0.344 eV/atom over the runner-up.

=====

--- w ---
# NaSrAsBr2

NaSrAsBr2 after structural relaxation (PBE-GGA, Alexandria via LeMat-Bulk).

The calculation puts the total magnetization at 2.0 Bohr magnetons per cell. The mass density comes out at 2.58 g/cm3.

It has space group P4/mmm (No. 123), with a = 5.971 Å, b = 5.971 Å, c = 6.228 Å, α = 90.00°, β = 90.00° and γ = 90.00°. Symmetry generates all atoms from Na at (0.000, 0.000, 0.000), Sr at (0.500, 0.500, 0.500), As at (0.500, 0.500, 0.000) and Br at (0.000, 0.500, 0.500).

=====

--- x ---
# NaSrAsBr2

NaSrAsBr2 after structural relaxation (PBE-GGA, Alexandria via LeMat-Bulk).

The calculation puts the total magnetization at 2.0 Bohr magnetons per cell. The mass density comes out at 3.59 g/cm3.

It has space group P4/mmm (No. 123), with a = 5.335 Å, b = 5.335 Å, c = 5.610 Å, α = 90.00°, β = 90.00° and γ = 90.00°. Symmetry generates all atoms from Na at (0.000, 0.000, 0.000), Sr at (0.500, 0.500, 0.500), As at (0.000, 0.000, 0.500) and Br at (0.000, 0.500, 0.000).

=====

Which structure is most stable? w, by 0.087 eV/atom over the runner-up.

=====

--- w ---
# NaTiAs2Br

NaTiAs2Br after structural relaxation (PBE-GGA, Alexandria via LeMat-Bulk).

The calculation puts the total magnetization at 0.0 Bohr magnetons per cell. The mass density comes out at 3.72 g/cm3.

It has space group P4/mmm (No. 123), with a = 4.834 Å, b = 4.834 Å, c = 5.736 Å, α = 90.00°, β = 90.00° and γ = 90.00°. Symmetry generates all atoms from Na at (0.000, 0.000, 0.000), Ti at (0.500, 0.500, 0.500), As at (0.000, 0.500, 0.500) and Br at (0.500, 0.500, 0.000).

=====

--- x ---
# NaTiAs2Br

NaTiAs2Br after structural relaxation (PBE-GGA, Alexandria via LeMat-Bulk).

The calculation puts the total magnetization at 1.0 Bohr magnetons per cell. The mass density comes out at 3.87 g/cm3.

It has space group P4/mmm (No. 123), with a = 4.990 Å, b = 4.990 Å, c = 5.183 Å, α = 90.00°, β = 90.00° and γ = 90.00°. Symmetry generates all atoms from Na at (0.000, 0.000, 0.000), Ti at (0.500, 0.500, 0.500), As at (0.000, 0.500, 0.000) and Br at (0.000, 0.000, 0.500).

=====

Which structure is most stable? w, by 1.255 eV/atom over the runner-up.

=====

--- w ---
# NaTlAsBr2

NaTlAsBr2 after structural relaxation (PBE-GGA, Alexandria via LeMat-Bulk).

The calculation puts the total magnetization at 1.8 Bohr magnetons per cell. The mass density comes out at 3.87 g/cm3.

It has space group P4/mmm (No. 123), with a = 6.039 Å, b = 6.039 Å, c = 5.440 Å, α = 90.00°, β = 90.00° and γ = 90.00°. Symmetry generates all atoms from Na at (0.000, 0.000, 0.000), Tl at (0.500, 0.500, 0.500), As at (0.500, 0.500, 0.000) and Br at (0.000, 0.500, 0.500).

=====

--- x ---
# NaTlAsBr2

NaTlAsBr2 after structural relaxation (PBE-GGA, Alexandria via LeMat-Bulk).

The calculation puts the total magnetization at 3.0 Bohr magnetons per cell. The mass density comes out at 4.30 g/cm3.

It has space group P4/mmm (No. 123), with a = 5.631 Å, b = 5.631 Å, c = 5.632 Å, α = 90.00°, β = 90.00° and γ = 90.00°. Symmetry generates all atoms from Na at (0.000, 0.000, 0.000), Tl at (0.500, 0.500, 0.500), As at (0.000, 0.000, 0.500) and Br at (0.000, 0.500, 0.000).

=====

Which structure is most stable? w, by 0.030 eV/atom over the runner-up.